(1)
## ZnGa4Ir2 (GGA-PBE)

Data for a geometry-optimized ZnGa4Ir2 structure.

Output
The total energy comes out at -4.628 eV/atom.

a = 6.7959 Å, b = 5.3649 Å, c = 7.0145 Å
α = 90.00°, β = 116.30°, γ = 90.00°
Atoms (fractional coordinates):
Zn1 0.2033 0.2500 0.3115
Zn2 0.7967 0.7500 0.6885
Ga1 0.0321 0.2500 0.8795
Ga2 0.0695 0.7500 0.5308
Ga3 0.4558 0.5010 0.7799
Ga4 0.4558 0.9990 0.7799
Ga5 0.5442 0.0010 0.2201
Ga6 0.5442 0.4990 0.2201
Ga7 0.9305 0.2500 0.4692
Ga8 0.9679 0.7500 0.1205
Ir1 0.2313 0.7500 0.9343
Ir2 0.3878 0.7500 0.4345
Ir3 0.6122 0.2500 0.5655
Ir4 0.7687 0.2500 0.0657

---

(2)
## CoBi (GGA-PBE)

Data for a geometry-optimized CoBi structure.

Output
The total energy comes out at -5.326 eV/atom.

a = 4.0312 Å, b = 4.0312 Å, c = 6.8000 Å
α = 107.10°, β = 107.10°, γ = 59.98°
Atoms (fractional coordinates):
Co1 0.1646 0.1646 0.4938
Co2 0.8354 0.8354 0.5062
Bi1 0.4138 0.4138 0.2390
Bi2 0.5862 0.5862 0.7610

---

(3)
## PrHo2Sc5 (GGA-PBE)

Data for a geometry-optimized PrHo2Sc5 structure.

Output
The total energy comes out at -5.638 eV/atom.

a = 6.7100 Å, b = 6.7100 Å, c = 6.7100 Å
α = 118.72°, β = 118.72°, γ = 92.22°
Atoms (fractional coordinates):
Pr1 0.0000 0.0000 0.0000
Ho1 0.0004 0.5004 0.5000
Ho2 0.5004 0.0004 0.5000
Sc1 0.0006 0.0006 0.5004
Sc2 0.0006 0.5002 0.0000
Sc3 0.5002 0.0006 0.0000
Sc4 0.5002 0.5002 0.4996
Sc5 0.5008 0.5008 0.0000

---

Number 3 is which compound?
PrHo2Sc5